1.
The following is a PBE calculation of a relaxed Tb2GdEr crystal, from Alexandria.

Cell: 3.5500 3.5500 10.0468 Å, 90.00 90.00 90.00°
Last column: nearest neighbours and their distance in Å.
Atoms (fractional coordinates):
1 Tb 0.0000 0.0000 0.2467  4 Er 3.53, 4 Tb 3.55, 4 Gd 3.57
2 Tb 0.0000 0.0000 0.7533  4 Er 3.53, 4 Tb 3.55, 4 Gd 3.57
3 Gd 0.5000 0.5000 0.5000  4 Gd 3.55, 8 Tb 3.57
4 Er 0.5000 0.5000 0.0000  8 Tb 3.53, 4 Er 3.55

## Properties
DOS at the Fermi energy ... 5.8 states/eV/f.u.
ΔE to the lowest computed polymorph ... 3 meV/atom
Space group ... No. 123
Formation energy from the elements ... 0.0207 eV per atom

2.
The following is a PBE calculation of a relaxed SrTlF3 crystal, from Alexandria.

Cell: 4.8665 4.8665 4.8665 Å, 90.00 90.00 90.00°
Last column: nearest neighbours and their distance in Å.
Atoms (fractional coordinates):
1 Sr 0.0000 0.0000 0.0000  12 F 3.44
2 Tl 0.5000 0.5000 0.5000  6 F 2.43
3 F 0.0000 0.5000 0.5000  2 Tl 2.43
4 F 0.5000 0.0000 0.5000  2 Tl 2.43
5 F 0.5000 0.5000 0.0000  2 Tl 2.43

## Properties
DOS at the Fermi energy ... 0.1 states/eV/f.u.
Space group ... No. 221
E ... -20.8 eV per cell

3.
The following is a PBE calculation of a relaxed Lu3PPb crystal, from Alexandria.

Cell: 5.1212 5.1212 5.1212 Å, 90.00 90.00 90.00°
Last column: nearest neighbours and their distance in Å.
Atoms (fractional coordinates):
1 Lu 0.0000 0.0000 0.5000  2 P 2.56
2 Lu 0.0000 0.5000 0.0000  2 P 2.56
3 Lu 0.5000 0.0000 0.0000  2 P 2.56
4 P 0.0000 0.0000 0.0000  6 Lu 2.56
5 Pb 0.5000 0.5000 0.5000  12 Lu 3.62

## Properties
DOS at the Fermi energy ... 2.7 states/eV/f.u.
Space group ... No. 221
Formation energy from the elements ... -0.6515 eV per atom

4.
The following is a PBE calculation of a relaxed CaLaMg2Ni crystal, from Alexandria.

Cell: 5.2129 5.2129 5.0923 Å, 90.00 90.00 90.00°
Last column: nearest neighbours and their distance in Å.
Atoms (fractional coordinates):
1 Ca 0.0000 0.0000 0.0000  8 Mg 3.64, 4 La 3.69
2 La 0.5000 0.5000 0.0000  2 Ni 2.55
3 Mg 0.0000 0.5000 0.5000  2 Ni 2.61
4 Mg 0.5000 0.0000 0.5000  2 Ni 2.61
5 Ni 0.5000 0.5000 0.5000  2 La 2.55, 4 Mg 2.61

## Properties
DOS at the Fermi energy ... 3.1 states/eV/f.u.
ΔE to the lowest computed polymorph ... 0 meV/atom
Space group ... No. 123
Formation energy from the elements ... -0.1434 eV per atom

5.
The following is a PBE calculation of a relaxed ErLuAlRh crystal, from Alexandria.

Cell: 4.9161 4.9161 4.9161 Å, 60.00 60.00 60.00°
Last column: nearest neighbours and their distance in Å.
Atoms (fractional coordinates):
1 Er 0.0000 0.0000 0.0000  4 Al 3.01, 4 Rh 3.01
2 Lu 0.5000 0.5000 0.5000  4 Al 3.01, 4 Rh 3.01
3 Al 0.7500 0.7500 0.7500  4 Er 3.01, 4 Lu 3.01
4 Rh 0.2500 0.2500 0.2500  4 Er 3.01, 4 Lu 3.01

## Properties
DOS at the Fermi energy ... 2.1 states/eV/f.u.
Space group ... No. 216
Formation energy from the elements ... -0.6145 eV per atom

6.
The following is a PBE calculation of a relaxed TlAsI2 crystal, from Alexandria.

Cell: 10.0063 10.0063 10.0063 Å, 142.25 142.25 54.45°
Last column: nearest neighbours and their distance in Å.
Atoms (fractional coordinates):
1 Tl 0.0000 0.0000 0.0000  4 I 3.50
2 Tl 0.7500 0.2500 0.5000  4 I 3.50
3 As 0.2500 0.7500 0.5000  4 I 2.95
4 As 0.5000 0.5000 0.0000  4 I 2.95
5 I 0.2104 0.6250 0.0854  2 As 2.95
6 I 0.3750 0.4604 0.5854  2 As 2.95
7 I 0.5396 0.1250 0.9146  2 As 2.95
8 I 0.8750 0.7896 0.4146  2 As 2.95

## Properties
DOS at the Fermi energy ... 0.1 states/eV/f.u.
ΔE to the lowest computed polymorph ... 0 meV/atom
Space group ... No. 122

7.
The following is a PBE calculation of a relaxed Pm4Sm4In crystal, from Alexandria.

Cell: 8.0597 8.0597 8.0597 Å, 95.53 95.53 143.83°
Last column: nearest neighbours and their distance in Å.
Atoms (fractional coordinates):
1 Pm 0.0000 0.3333 0.3333  5 Pm 3.58-3.61, 6 Sm 3.58-3.68, 1 In 3.61
2 Pm 0.0000 0.6667 0.6667  5 Pm 3.58-3.61, 6 Sm 3.58-3.68, 1 In 3.61
3 Pm 0.3333 0.0000 0.3333  5 Pm 3.58-3.61, 6 Sm 3.58-3.68, 1 In 3.61
4 Pm 0.6667 0.0000 0.6667  5 Pm 3.58-3.61, 6 Sm 3.58-3.68, 1 In 3.61
5 Sm 0.3395 0.3395 0.6790  4 Sm 3.48-3.71, 2 In 3.51, 6 Pm 3.58-3.68
6 Sm 0.3395 0.6605 0.0000  4 Sm 3.48-3.71, 2 In 3.51, 6 Pm 3.58-3.68
7 Sm 0.6605 0.3395 0.0000  4 Sm 3.48-3.71, 2 In 3.51, 6 Pm 3.58-3.68
8 Sm 0.6605 0.6605 0.3210  4 Sm 3.48-3.71, 2 In 3.51, 6 Pm 3.58-3.68
9 In 0.0000 0.0000 0.0000  8 Sm 3.51, 4 Pm 3.61

## Properties
DOS at the Fermi energy ... 13.3 states/eV/f.u.
Space group ... No. 139
Formation energy from the elements ... -0.0712 eV per atom

8.
The following is a PBE calculation of a relaxed Ac8PrEr4 crystal, from Alexandria.

Cell: 8.3185 8.3185 8.3185 Å, 90.07 90.07 90.07°
Last column: nearest neighbours and their distance in Å.
Atoms (fractional coordinates):
1 Ac 0.2408 0.2408 0.2408  4 Er 3.46-3.65, 1 Pr 3.73
2 Ac 0.2406 0.2406 0.7588  4 Er 3.47-3.65, 1 Pr 3.74
3 Ac 0.2406 0.7588 0.2406  4 Er 3.47-3.65, 1 Pr 3.74
4 Ac 0.2412 0.7594 0.7594  4 Er 3.47-3.65, 1 Pr 3.74
5 Ac 0.7588 0.2406 0.2406  4 Er 3.47-3.65, 1 Pr 3.74
6 Ac 0.7594 0.2412 0.7594  4 Er 3.47-3.65, 1 Pr 3.74
7 Ac 0.7594 0.7594 0.2412  4 Er 3.47-3.65, 1 Pr 3.74
8 Ac 0.7592 0.7592 0.7592  4 Er 3.46-3.65, 1 Pr 3.73
9 Pr 0.5000 0.5000 0.5000  8 Ac 3.73-3.74, 6 Er 4.16
10 Er 0.0000 0.0000 0.0000  8 Ac 3.46-3.47
11 Er 0.0000 0.5000 0.5000  8 Ac 3.65
12 Er 0.5000 0.0000 0.5000  8 Ac 3.65
13 Er 0.5000 0.5000 0.0000  8 Ac 3.65

## Properties
DOS at the Fermi energy ... 18.5 states/eV/f.u.
Space group ... No. 166
Formation energy from the elements ... 0.3890 eV per atom